(1)
Compound: KOs2Rh
Source: Alexandria
Functional: PBE-GGA
Structure: relaxed

Results
Formation energy in eV/f.u.: 6.3
Polymorph energy (0 for the lowest one) in meV per atom: 922

Structure (CIF):
```
data_KOs2Rh
_chemical_formula_sum 'K2 Os4 Rh2'
_cell_length_a 3.861
_cell_length_b 3.861
_cell_length_c 9.068
_cell_angle_alpha 90.00
_cell_angle_beta 90.00
_cell_angle_gamma 90.00
_space_group_name_H-M_alt 'I 4/m m m'
_space_group_IT_number 139
_space_group_name_Hall '-I 4 2'
loop_
_atom_site_label
_atom_site_type_symbol
_atom_site_fract_x
_atom_site_fract_y
_atom_site_fract_z
K1 K 0.000 0.000 0.000
Os1 Os 0.000 0.500 0.250
Rh1 Rh 0.000 0.000 0.500
```

(2)
Compound: Tb4CeEr
Source: Alexandria
Functional: PBE-GGA
Structure: relaxed

Results
Formation energy in eV/f.u.: 0.2
Polymorph energy (0 for the lowest one) in meV per atom: 0

Structure (CIF):
```
data_Tb4CeEr
_chemical_formula_sum 'Tb8 Ce2 Er2'
_cell_length_a 17.242
_cell_length_b 3.570
_cell_length_c 6.182
_cell_angle_alpha 90.00
_cell_angle_beta 96.75
_cell_angle_gamma 90.00
_space_group_name_H-M_alt 'C 1 2/m 1'
_space_group_IT_number 12
loop_
_space_group_symop_operation_xyz
'x,y,z'
'-x,-y,-z'
'-x,y,-z'
'x,-y,z'
'x+1/2,y+1/2,z'
'-x+1/2,-y+1/2,-z'
'-x+1/2,y+1/2,-z'
'x+1/2,-y+1/2,z'
loop_
_atom_site_label
_atom_site_type_symbol
_atom_site_fract_x
_atom_site_fract_y
_atom_site_fract_z
Tb1 Tb 0.165 0.000 0.390
Tb2 Tb 0.166 0.500 0.886
Ce1 Ce 0.000 0.500 0.500
Er1 Er 0.000 0.000 0.000
```

(3)
Compound: Tm4MgS7
Source: Alexandria
Functional: PBE-GGA
Structure: relaxed

Results
Uncorrected energy in Ry per atom: -0.4391

Structure (CIF):
```
data_Tm4MgS7
_chemical_formula_sum 'Tm8 Mg2 S14'
_cell_length_a 12.471
_cell_length_b 3.753
_cell_length_c 11.384
_cell_angle_alpha 90.00
_cell_angle_beta 104.88
_cell_angle_gamma 90.00
_space_group_name_H-M_alt 'C 1 m 1'
_space_group_IT_number 8
loop_
_space_group_symop_operation_xyz
'x,y,z'
'x,-y,z'
'x+1/2,y+1/2,z'
'x+1/2,-y+1/2,z'
loop_
_atom_site_label
_atom_site_type_symbol
_atom_site_fract_x
_atom_site_fract_y
_atom_site_fract_z
Tm1 Tm 0.000 0.000 0.000
Tm2 Tm 0.080 0.500 0.366
Tm3 Tm 0.194 0.500 0.802
Tm4 Tm 0.388 0.000 0.599
Mg1 Mg 0.308 0.500 0.218
S1 S 0.034 0.000 0.746
S2 S 0.156 0.500 0.019
S3 S 0.197 0.000 0.295
S4 S 0.232 0.500 0.583
S5 S 0.354 0.000 0.848
S6 S 0.429 0.000 0.150
S7 S 0.452 0.500 0.439
```

(4)
Compound: PmTm2ScHg4
Source: Alexandria
Functional: PBE-GGA
Structure: relaxed

Results
Formation energy in eV/f.u.: -3.6

Structure (CIF):
```
data_PmTm2ScHg4
_chemical_formula_sum 'Pm3 Tm6 Sc3 Hg12'
_cell_length_a 5.1737
_cell_length_b 5.1737
_cell_length_c 25.7491
_cell_angle_alpha 90.00
_cell_angle_beta 90.00
_cell_angle_gamma 120.00
_space_group_name_H-M_alt 'R -3 m'
_space_group_IT_number 166
_space_group_name_Hall '-R 3 2"'
loop_
_atom_site_label
_atom_site_type_symbol
_atom_site_fract_x
_atom_site_fract_y
_atom_site_fract_z
Pm1 Pm 0.0000 0.0000 0.0000
Tm1 Tm 0.0000 0.0000 0.2475
Sc1 Sc 0.0000 0.0000 0.5000
Hg1 Hg 0.0000 0.0000 0.1278
Hg2 Hg 0.0000 0.0000 0.3807
```

Total moment? In order: 0.0 1.8 0.0 0.3 μB/cell.